Density functional theory data (PBE-GGA) for a relaxed structure of CsMgTcB2. Values from VASP.

```
&SYSTEM
  ibrav = 0, nat = 5, ntyp = 4
/
ATOMIC_SPECIES
B 10.81 B.upf
Tc 98.00 Tc.upf
Mg 24.30 Mg.upf
Cs 132.91 Cs.upf
ATOMIC_POSITIONS crystal
B 0.000 0.000 0.500
Tc 0.000 0.000 0.000
Mg 0.500 0.500 0.500
Cs 0.000 0.500 0.000
B 0.500 0.000 0.000
CELL_PARAMETERS angstrom
4.317 0.000 0.000
0.000 5.619 0.000
0.000 0.000 4.317
```

Summary:
* space group: P4/mmm
* DFT total energy: -19.181 eV per formula unit